(1)
! Rb2Tl4AgAu3 (GGA-PBE, optimized geometry); values from VASP
! - DFT formation energy (eV/atom) = -0.12
&SYSTEM
  ibrav = 0, nat = 10, ntyp = 4
/
ATOMIC_SPECIES
Rb 85.47 Rb.upf
Tl 204.38 Tl.upf
Ag 107.87 Ag.upf
Au 196.97 Au.upf
ATOMIC_POSITIONS crystal
Rb 0.000 0.500 0.241
Rb 0.500 0.000 0.759
Tl 0.000 0.000 0.500
Tl 0.000 0.500 0.880
Tl 0.500 0.000 0.120
Tl 0.500 0.500 0.500
Ag 0.500 0.500 0.000
Au 0.000 0.000 0.000
Au 0.000 0.500 0.628
Au 0.500 0.000 0.372
CELL_PARAMETERS angstrom
5.170 0.000 0.000
0.000 5.170 0.000
0.000 0.000 11.445

***

(2)
! Ac2LaDySe6 (GGA-PBE, optimized geometry); values from VASP
! - ΔE_f (raw) (eV/atom) = -1.9474
&SYSTEM
  ibrav = 0, nat = 10, ntyp = 4
/
ATOMIC_SPECIES
Ac 227.00 Ac.upf
La 138.91 La.upf
Dy 162.50 Dy.upf
Se 78.96 Se.upf
ATOMIC_POSITIONS crystal
Ac 0.000 0.000 0.000
Ac 0.498 0.498 0.498
La 0.289 0.289 0.289
Dy 0.792 0.792 0.792
Se 0.071 0.669 0.426
Se 0.162 0.587 0.911
Se 0.426 0.071 0.669
Se 0.587 0.911 0.162
Se 0.669 0.426 0.071
Se 0.911 0.162 0.587
CELL_PARAMETERS angstrom
3.838 2.216 6.632
-3.838 2.216 6.632
0.000 -4.432 6.632

***

no.,final energy (hartree per atom)
1,-0.093
2,-0.214